The following is a DFT calculation (PBE-GGA) of a relaxed NiAuSe crystal.

Calculated values
Its space group is F-43m (216). As for the crystal system: cubic. As for the uncorrected formation energy: 0.128 eV/atom. For the distance to the lowest polymorph of the same formula, the calculation gives 0.373 eV per formula unit.

Unit cell a=4.2304 b=4.2304 c=4.2304 alpha=60.00 beta=60.00 gamma=60.00
Closest atoms and distances in Å follow each position.
Atoms (fractional coordinates):
Ni 0.0000 0.0000 0.0000  4 Se 2.59, 4 Au 2.59
Au 0.2500 0.2500 0.2500  4 Ni 2.59
Se 0.7500 0.7500 0.7500  4 Ni 2.59

The following is a DFT calculation (PBE-GGA) of a relaxed NiAuSe2 crystal.

Calculated values
Its space group is I-4m2 (119). As for the crystal system: tetragonal. As for the uncorrected formation energy: 0.351 eV/atom.

Unit cell a=7.6464 b=7.6464 c=7.6464 alpha=153.01 beta=153.01 gamma=38.54
Closest atoms and distances in Å follow each position.
Atoms (fractional coordinates):
Ni 0.0000 0.0000 0.0000  4 Se 2.52
Au 0.7500 0.2500 0.5000  4 Se 2.52
Se 0.2500 0.7500 0.5000  4 Au 2.52
Se 0.5000 0.5000 0.0000  4 Ni 2.52

The following is a DFT calculation (PBE-GGA) of a relaxed NiAu2Se crystal.

Calculated values
Its space group is Pm (6). As for the crystal system: monoclinic. As for the uncorrected formation energy: 0.054 eV/atom.

Unit cell a=3.0392 b=2.9761 c=7.8451 alpha=90.00 beta=101.11 gamma=90.00
Closest atoms and distances in Å follow each position.
Atoms (fractional coordinates):
Ni 0.0000 0.0000 0.0000  4 Se 2.43
Au 0.3800 0.5000 0.7580  4 Ni 2.83, 8 Au 2.92-3.04, 1 Se 3.05
Au 0.7510 0.0000 0.4974  8 Au 2.92-3.04, 2 Se 3.04
Se 0.5765 0.5000 0.1537  4 Ni 2.43

The following is a DFT calculation (PBE-GGA) of a relaxed NiAuSe crystal.

Calculated values
Its space group is C2/m (12). As for the crystal system: monoclinic. As for the uncorrected formation energy: 0.043 eV/atom. For the distance to the lowest polymorph of the same formula, the calculation gives 0.119 eV per formula unit.

Unit cell a=5.7411 b=5.7411 c=5.8914 alpha=105.24 beta=105.24 gamma=34.12
Closest atoms and distances in Å follow each position.
Atoms (fractional coordinates):
Ni 0.2479 0.2479 0.2652  3 Se 2.36-2.41, 3 Au 2.60-2.62
Ni 0.7521 0.7521 0.7348  3 Se 2.36-2.41, 3 Au 2.60-2.62
Au 0.4208 0.4208 0.6724  3 Ni 2.60-2.62, 2 Se 2.83
Au 0.5792 0.5792 0.3276  3 Ni 2.60-2.62, 2 Se 2.83
Se 0.1321 0.1321 0.8528  3 Ni 2.36-2.41
Se 0.8679 0.8679 0.1472  3 Ni 2.36-2.41

The following is a DFT calculation (PBE-GGA) of a relaxed NiAuSe2 crystal.

Calculated values
Its space group is Amm2 (38). As for the crystal system: orthorhombic. As for the uncorrected formation energy: 0.016 eV/atom.

Unit cell a=4.1625 b=4.4965 c=4.4965 alpha=69.00 beta=90.00 gamma=90.00
Closest atoms and distances in Å follow each position.
Atoms (fractional coordinates):
Ni 0.0000 0.0000 0.0000  4 Se 2.36-2.59
Au 0.5000 0.7726 0.7726  5 Se 2.59-2.79, 2 Ni 2.68
Se 0.0000 0.5637 0.5637  2 Ni 2.59, 2 Au 2.59
Se 0.5000 0.1489 0.1489  2 Ni 2.36

The following is a DFT calculation (PBE-GGA) of a relaxed NiAu2Se crystal.

Calculated values
Its space group is Imm2 (44). As for the crystal system: orthorhombic. As for the uncorrected formation energy: 0.090 eV/atom.

Unit cell a=6.3072 b=6.3072 c=6.3072 alpha=153.27 beta=139.19 gamma=49.45
Closest atoms and distances in Å follow each position.
Atoms (fractional coordinates):
Ni 0.0000 0.0000 0.0000  2 Se 2.31
Au 0.4527 0.4527 0.0000  4 Ni 2.69, 4 Au 2.83-2.92
Au 0.7975 0.2975 0.5000  2 Ni 2.74, 4 Au 2.83-2.92
Se 0.1565 0.6565 0.5000  2 Ni 2.31